[1]
First-principles (meta-GGA SCAN) data for NaSn2Au2 at its PBEsol-relaxed geometry, as listed in Alexandria via LeMat-Bulk.

- ΔE_f (eV/atom) = -0.21
- excess energy over the best structure of this formula in the dataset (eV per formula unit) = 0.13
- size of the total moment (μB per atom) = 0.0000

abc: 3.668 7.735 7.735
angles: 90.00 90.00 90.00
Fractional coordinates of all 10 atoms:
Au 0.000 0.634 0.134
Au 0.000 0.366 0.866
Au 0.000 0.134 0.366
Au 0.000 0.866 0.634
Na 0.000 0.000 0.000
Na 0.000 0.500 0.500
Sn 0.500 0.166 0.666
Sn 0.500 0.834 0.334
Sn 0.500 0.334 0.166
Sn 0.500 0.666 0.834



[2]
First-principles (meta-GGA SCAN) data for ZrOs2Br at its PBEsol-relaxed geometry, as listed in Alexandria via LeMat-Bulk.

- excess energy over the best structure of this formula in the dataset (eV per formula unit) = 1.06
- size of the total moment (μB per atom) = 0.0000

abc: 2.913 4.614 4.927
angles: 90.00 90.00 90.82
Fractional coordinates of all 4 atoms:
Zr 0.000 0.500 0.500
Os 0.267 0.245 0.000
Os 0.733 0.755 0.000
Br 0.500 0.000 0.500



[3]
First-principles (meta-GGA SCAN) data for ErCdAu2 at its PBEsol-relaxed geometry, as listed in Alexandria via LeMat-Bulk.

- ΔE_f (eV/atom) = -0.82
- size of the total moment (μB per atom) = 0.0000

abc: 4.806 4.806 4.806
angles: 60.00 60.00 60.00
Fractional coordinates of all 4 atoms:
Au 0.250 0.250 0.250
Au 0.750 0.750 0.750
Er 0.500 0.500 0.500
Cd 0.000 0.000 0.000



[4]
First-principles (meta-GGA SCAN) data for CrBrO at its PBEsol-relaxed geometry, as listed in Alexandria via LeMat-Bulk.

- E (eV/atom) = -16.56
- size of the total moment (μB per atom) = 1.0000

abc: 3.256 3.832 8.362
angles: 90.00 90.00 90.00
Fractional coordinates of all 6 atoms:
Cr 0.500 0.500 0.401
Cr 0.000 0.000 0.599
O 0.500 0.000 0.453
O 0.000 0.500 0.547
Br 0.000 0.500 0.182
Br 0.500 0.000 0.818



[5]
First-principles (meta-GGA SCAN) data for BaCaI3 at its PBEsol-relaxed geometry, as listed in Alexandria via LeMat-Bulk.

- E (eV/atom) = -33.05
- size of the total moment (μB per atom) = 0.2002

abc: 6.562 6.562 6.562
angles: 90.00 90.00 90.00
Fractional coordinates of all 5 atoms:
I 0.000 0.000 0.500
I 0.500 0.000 0.000
I 0.000 0.500 0.000
Ba 0.000 0.000 0.000
Ca 0.500 0.500 0.500



[6]
First-principles (meta-GGA SCAN) data for YHgI2 at its PBEsol-relaxed geometry, as listed in Alexandria via LeMat-Bulk.

- E (eV/atom) = -43.02
- size of the total moment (μB per atom) = 0.2402

abc: 5.450 5.450 5.450
angles: 60.00 60.00 60.00
Fractional coordinates of all 4 atoms:
I 0.250 0.250 0.250
I 0.750 0.750 0.750
Y 0.000 0.000 0.000
Hg 0.500 0.500 0.500



[7]
First-principles (meta-GGA SCAN) data for RbAlF4 at its PBEsol-relaxed geometry, as listed in Alexandria via LeMat-Bulk.

- E (eV/atom) = -10.73
- size of the total moment (μB per atom) = 0.0000

abc: 6.257 7.233 7.251
angles: 90.00 90.00 90.00
Fractional coordinates of all 24 atoms:
F 0.718 0.271 0.752
F 0.282 0.771 0.748
F 0.718 0.729 0.248
F 0.969 0.000 0.292
F 0.997 0.793 0.000
F 0.003 0.293 0.500
F 0.282 0.771 0.252
F 0.718 0.271 0.248
F 0.031 0.500 0.792
F 0.969 0.000 0.708
F 0.282 0.229 0.252
F 0.997 0.207 0.000
F 0.031 0.500 0.208
F 0.003 0.707 0.500
F 0.718 0.729 0.752
F 0.282 0.229 0.748
Rb 0.480 0.500 0.500
Rb 0.520 0.000 0.000
Rb 0.523 0.000 0.500
Rb 0.477 0.500 0.000
Al 0.000 0.250 0.750
Al 0.000 0.750 0.750
Al 0.000 0.750 0.250
Al 0.000 0.250 0.250



[8]
First-principles (meta-GGA SCAN) data for ScFe2Ag at its PBEsol-relaxed geometry, as listed in Alexandria via LeMat-Bulk.

- ΔE_f (eV/atom) = 0.25
- size of the total moment (μB per atom) = 1.1280

abc: 2.725 5.010 5.067
angles: 116.85 100.97 99.14
Fractional coordinates of all 4 atoms:
Fe 0.000 0.000 0.500
Fe 0.500 0.500 0.500
Ag 0.000 0.500 0.000
Sc 0.500 0.000 0.000



[9]
First-principles (meta-GGA SCAN) data for Be2ReBiI at its PBEsol-relaxed geometry, as listed in Alexandria via LeMat-Bulk.

- E (eV/atom) = -37.00
- size of the total moment (μB per atom) = 0.1930

abc: 4.562 4.562 5.078
angles: 90.00 90.00 90.00
Fractional coordinates of all 5 atoms:
I 0.000 0.000 0.000
Bi 0.500 0.500 0.500
Be 0.000 0.500 0.000
Be 0.500 0.000 0.000
Re 0.000 0.000 0.500



[10]
First-principles (meta-GGA SCAN) data for LiPb5 at its PBEsol-relaxed geometry, as listed in Alexandria via LeMat-Bulk.

- ΔE_f (eV/atom) = -0.08
- excess energy over the best structure of this formula in the dataset (eV per formula unit) = 0.02
- size of the total moment (μB per atom) = 0.0000

abc: 3.572 5.516 8.760
angles: 90.00 101.76 90.00
Fractional coordinates of all 6 atoms:
Pb 0.450 0.500 0.899
Pb 0.337 0.000 0.674
Pb 0.780 0.500 0.560
Pb 0.110 0.500 0.221
Pb 0.661 0.000 0.321
Li 0.996 0.000 0.991



[11]
First-principles (meta-GGA SCAN) data for BeCr2Re at its PBEsol-relaxed geometry, as listed in Alexandria via LeMat-Bulk.

- ΔE_f (eV/atom) = -0.01
- size of the total moment (μB per atom) = 0.0005

abc: 2.897 4.042 4.654
angles: 115.74 108.13 90.00
Fractional coordinates of all 4 atoms:
Be 0.255 0.255 0.511
Cr 0.009 0.509 0.018
Cr 0.742 0.742 0.484
Re 0.493 0.993 0.987



[12]
First-principles (meta-GGA SCAN) data for GdOF at its PBEsol-relaxed geometry, as listed in Alexandria via LeMat-Bulk.

- E (eV/atom) = -26.94
- size of the total moment (μB per atom) = 2.3317

abc: 3.838 3.838 6.761
angles: 73.51 73.51 60.00
Fractional coordinates of all 6 atoms:
Gd 0.741 0.741 0.776
Gd 0.259 0.259 0.224
O 0.622 0.622 0.134
O 0.378 0.378 0.866
F 0.130 0.130 0.611
F 0.870 0.870 0.389



[13]
First-principles (meta-GGA SCAN) data for CuHgBi2Ir at its PBEsol-relaxed geometry, as listed in Alexandria via LeMat-Bulk.

- ΔE_f (eV/atom) = 1.57
- size of the total moment (μB per atom) = 0.0001

abc: 4.592 5.418 5.418
angles: 90.00 90.00 90.00
Fractional coordinates of all 5 atoms:
Cu 0.500 0.000 0.000
Bi 0.000 0.500 0.000
Bi 0.000 0.000 0.500
Ir 0.500 0.500 0.500
Hg 0.000 0.000 0.000



[14]
First-principles (meta-GGA SCAN) data for ZnCoAs3 at its PBEsol-relaxed geometry, as listed in Alexandria via LeMat-Bulk.

- ΔE_f (eV/atom) = 0.56
- size of the total moment (μB per atom) = 0.0020

abc: 4.538 4.538 4.538
angles: 90.00 90.00 90.00
Fractional coordinates of all 5 atoms:
As 0.000 0.500 0.000
As 0.000 0.000 0.500
As 0.500 0.000 0.000
Co 0.000 0.000 0.000
Zn 0.500 0.500 0.500



[15]
First-principles (meta-GGA SCAN) data for ErNi2B2 at its PBEsol-relaxed geometry, as listed in Alexandria via LeMat-Bulk.

- ΔE_f (eV/atom) = -0.62
- size of the total moment (μB per atom) = 0.0000

abc: 4.881 4.881 6.005
angles: 103.48 102.55 116.48
Fractional coordinates of all 10 atoms:
Ni 0.468 0.523 0.799
Ni 0.532 0.477 0.201
Ni 0.723 0.168 0.701
Ni 0.277 0.832 0.299
B 0.505 0.320 0.477
B 0.843 0.528 0.023
B 0.157 0.472 0.977
B 0.495 0.680 0.523
Er 0.119 0.869 0.750
Er 0.881 0.131 0.250



[16]
First-principles (meta-GGA SCAN) data for Ti2SnRh2 at its PBEsol-relaxed geometry, as listed in Alexandria via LeMat-Bulk.

- ΔE_f (eV/atom) = -0.57
- size of the total moment (μB per atom) = 0.0000

abc: 4.149 4.149 5.919
angles: 110.51 110.51 90.00
Fractional coordinates of all 5 atoms:
Rh 0.620 0.620 0.240
Rh 0.380 0.380 0.760
Sn 0.000 0.000 0.000
Ti 0.750 0.250 0.500
Ti 0.250 0.750 0.500



[17]
First-principles (meta-GGA SCAN) data for BeSbPd2 at its PBEsol-relaxed geometry, as listed in Alexandria via LeMat-Bulk.

- E (eV/atom) = -26.88
- size of the total moment (μB per atom) = 0.0000

abc: 3.902 3.902 8.961
angles: 102.58 102.58 90.00
Fractional coordinates of all 8 atoms:
Pd 0.393 0.875 0.250
Pd 0.125 0.143 0.750
Pd 0.625 0.607 0.750
Pd 0.857 0.375 0.250
Sb 0.250 0.750 0.500
Sb 0.000 0.000 0.000
Be 0.500 0.500 0.000
Be 0.750 0.250 0.500



[18]
First-principles (meta-GGA SCAN) data for NaMg3 at its PBEsol-relaxed geometry, as listed in Alexandria via LeMat-Bulk.

- ΔE_f (eV/atom) = 0.08
- size of the total moment (μB per atom) = 0.0213

abc: 3.152 4.747 6.626
angles: 90.00 90.00 90.00
Fractional coordinates of all 4 atoms:
Mg 0.000 0.000 0.500
Mg 0.500 0.500 0.735
Mg 0.500 0.500 0.265
Na 0.000 0.000 0.000



[19]
First-principles (meta-GGA SCAN) data for BaY2MnCl at its PBEsol-relaxed geometry, as listed in Alexandria via LeMat-Bulk.

- E (eV/atom) = -24.58
- size of the total moment (μB per atom) = 0.7584

abc: 5.134 5.134 5.737
angles: 90.00 90.00 90.00
Fractional coordinates of all 5 atoms:
Y 0.500 0.000 0.000
Y 0.000 0.500 0.000
Cl 0.000 0.000 0.000
Mn 0.500 0.500 0.500
Ba 0.000 0.000 0.500



[20]
First-principles (meta-GGA SCAN) data for Ba3SCl at its PBEsol-relaxed geometry, as listed in Alexandria via LeMat-Bulk.

- E (eV/atom) = -28.15
- size of the total moment (μB per atom) = 0.0002

abc: 5.749 5.749 5.749
angles: 90.00 90.00 90.00
Fractional coordinates of all 5 atoms:
Ba 0.000 0.500 0.000
Ba 0.000 0.000 0.500
Ba 0.500 0.000 0.000
S 0.500 0.500 0.500
Cl 0.000 0.000 0.000